# CaReS2

A relaxed CaReS2 crystal (GGA-PBE, the Alexandria database).

Structure (CIF):
```
data_CaReS2
_space_group_name_H-M_alt 'P 1'
_space_group_IT_number 1
_space_group_name_Hall 'P 1'
_cell_length_a 8.3291
_cell_length_b 8.3291
_cell_length_c 8.3291
_cell_angle_alpha 25.06
_cell_angle_beta 25.06
_cell_angle_gamma 25.06
loop_
_atom_site_label
_atom_site_type_symbol
_atom_site_fract_x
_atom_site_fract_y
_atom_site_fract_z
Ca1 Ca 0.0000 0.0000 0.0000
Re1 Re 0.5000 0.5000 0.5000
S1 S 0.1138 0.1138 0.1138
S2 S 0.8862 0.8862 0.8862
```

Properties
The value obtained for the volume is 91.2 Å³/cell. The density of states at the Fermi level comes out at 2.068 states/eV/cell. For the energy relative to the elements, uncorrected, the calculation gives -5.33 kcal/mol of atoms. The calculation puts the spin magnetization at 1.221 μB per formula unit.



# Ca2ReS

A relaxed Ca2ReS crystal (GGA-PBE, the Alexandria database).

Structure (CIF):
```
data_Ca2ReS
_space_group_name_H-M_alt 'P 1'
_space_group_IT_number 1
_space_group_name_Hall 'P 1'
_cell_length_a 5.0734
_cell_length_b 5.0734
_cell_length_c 5.0734
_cell_angle_alpha 60.00
_cell_angle_beta 60.00
_cell_angle_gamma 60.00
loop_
_atom_site_label
_atom_site_type_symbol
_atom_site_fract_x
_atom_site_fract_y
_atom_site_fract_z
Ca1 Ca 0.2500 0.2500 0.2500
Ca2 Ca 0.7500 0.7500 0.7500
Re1 Re 0.0000 0.0000 0.0000
S1 S 0.5000 0.5000 0.5000
```

Properties
The value obtained for the volume is 92.3 Å³/cell. The density of states at the Fermi level comes out at 6.172 states/eV/cell. For the energy relative to the elements, uncorrected, the calculation gives 8.20 kcal/mol of atoms. The calculation puts the spin magnetization at 3.000 μB per formula unit.



# CaRe2SiS

A relaxed CaRe2SiS crystal (GGA-PBE, the Alexandria database).

Structure (CIF):
```
data_CaRe2SiS
_space_group_name_H-M_alt 'P 1'
_space_group_IT_number 1
_space_group_name_Hall 'P 1'
_cell_length_a 4.3799
_cell_length_b 4.3799
_cell_length_c 5.0715
_cell_angle_alpha 90.00
_cell_angle_beta 90.00
_cell_angle_gamma 90.00
loop_
_atom_site_label
_atom_site_type_symbol
_atom_site_fract_x
_atom_site_fract_y
_atom_site_fract_z
Ca1 Ca 0.0000 0.0000 0.0000
Re1 Re 0.0000 0.5000 0.5000
Re2 Re 0.5000 0.0000 0.5000
Si1 Si 0.5000 0.5000 0.0000
S1 S 0.0000 0.0000 0.5000
```

Properties
The value obtained for the volume is 97.3 Å³/cell. The density of states at the Fermi level comes out at 6.778 states/eV/cell. For the energy relative to the elements, uncorrected, the calculation gives 17.24 kcal/mol of atoms. The calculation puts the spin magnetization at 0.000 μB per formula unit.



# CaTi2ReS

A relaxed CaTi2ReS crystal (GGA-PBE, the Alexandria database).

Structure (CIF):
```
data_CaTi2ReS
_space_group_name_H-M_alt 'P 1'
_space_group_IT_number 1
_space_group_name_Hall 'P 1'
_cell_length_a 4.6327
_cell_length_b 4.6327
_cell_length_c 5.8909
_cell_angle_alpha 90.00
_cell_angle_beta 90.00
_cell_angle_gamma 90.00
loop_
_atom_site_label
_atom_site_type_symbol
_atom_site_fract_x
_atom_site_fract_y
_atom_site_fract_z
Ca1 Ca 0.0000 0.0000 0.0000
Ti1 Ti 0.0000 0.5000 0.5000
Ti2 Ti 0.5000 0.0000 0.5000
Re1 Re 0.0000 0.0000 0.5000
S1 S 0.5000 0.5000 0.0000
```

Properties
The value obtained for the volume is 126.4 Å³/cell. The density of states at the Fermi level comes out at 4.024 states/eV/cell. For the energy relative to the elements, uncorrected, the calculation gives 11.00 kcal/mol of atoms. The calculation puts the spin magnetization at 0.000 μB per formula unit.



# Ca4ReSb

A relaxed Ca4ReSb crystal (GGA-PBE, the Alexandria database).

Structure (CIF):
```
data_Ca4ReSb
_space_group_name_H-M_alt 'P 1'
_space_group_IT_number 1
_space_group_name_Hall 'P 1'
_cell_length_a 6.1635
_cell_length_b 6.1635
_cell_length_c 6.1635
_cell_angle_alpha 60.00
_cell_angle_beta 60.00
_cell_angle_gamma 60.00
loop_
_atom_site_label
_atom_site_type_symbol
_atom_site_fract_x
_atom_site_fract_y
_atom_site_fract_z
Ca1 Ca 0.1242 0.1242 0.1242
Ca2 Ca 0.1242 0.1242 0.6274
Ca3 Ca 0.1242 0.6274 0.1242
Ca4 Ca 0.6274 0.1242 0.1242
Re1 Re 0.7500 0.7500 0.7500
Sb1 Sb 0.5000 0.5000 0.5000
```

Properties
The value obtained for the volume is 165.6 Å³/cell. The density of states at the Fermi level comes out at 8.060 states/eV/cell. For the energy relative to the elements, uncorrected, the calculation gives 19.58 kcal/mol of atoms. The calculation puts the spin magnetization at 1.884 μB per formula unit.



# CaRe2Sb

A relaxed CaRe2Sb crystal (GGA-PBE, the Alexandria database).

Structure (CIF):
```
data_CaRe2Sb
_space_group_name_H-M_alt 'P 1'
_space_group_IT_number 1
_space_group_name_Hall 'P 1'
_cell_length_a 6.4015
_cell_length_b 6.4015
_cell_length_c 6.4015
_cell_angle_alpha 39.10
_cell_angle_beta 39.10
_cell_angle_gamma 39.10
loop_
_atom_site_label
_atom_site_type_symbol
_atom_site_fract_x
_atom_site_fract_y
_atom_site_fract_z
Ca1 Ca 0.0000 0.0000 0.0000
Re1 Re 0.2156 0.2156 0.2156
Re2 Re 0.5277 0.5277 0.5277
Sb1 Sb 0.7880 0.7880 0.7880
```

Properties
The value obtained for the volume is 93.9 Å³/cell. The density of states at the Fermi level comes out at 3.820 states/eV/cell. For the energy relative to the elements, uncorrected, the calculation gives 2.94 kcal/mol of atoms. The calculation puts the spin magnetization at 0.000 μB per formula unit.



# CaRe3Sb

A relaxed CaRe3Sb crystal (GGA-PBE, the Alexandria database).

Structure (CIF):
```
data_CaRe3Sb
_space_group_name_H-M_alt 'P 1'
_space_group_IT_number 1
_space_group_name_Hall 'P 1'
_cell_length_a 4.7189
_cell_length_b 4.7189
_cell_length_c 4.7189
_cell_angle_alpha 90.00
_cell_angle_beta 90.00
_cell_angle_gamma 90.00
loop_
_atom_site_label
_atom_site_type_symbol
_atom_site_fract_x
_atom_site_fract_y
_atom_site_fract_z
Ca1 Ca 0.0000 0.0000 0.0000
Re1 Re 0.0000 0.0000 0.5000
Re2 Re 0.0000 0.5000 0.0000
Re3 Re 0.5000 0.0000 0.0000
Sb1 Sb 0.5000 0.5000 0.5000
```

Properties
The value obtained for the volume is 105.1 Å³/cell. The density of states at the Fermi level comes out at 4.269 states/eV/cell. For the energy relative to the elements, uncorrected, the calculation gives 71.40 kcal/mol of atoms. The calculation puts the spin magnetization at 3.081 μB per formula unit.



# CaReSb

A relaxed CaReSb crystal (GGA-PBE, the Alexandria database).

Structure (CIF):
```
data_CaReSb
_space_group_name_H-M_alt 'P 1'
_space_group_IT_number 1
_space_group_name_Hall 'P 1'
_cell_length_a 3.3995
_cell_length_b 3.3995
_cell_length_c 6.8923
_cell_angle_alpha 90.00
_cell_angle_beta 90.00
_cell_angle_gamma 120.00
loop_
_atom_site_label
_atom_site_type_symbol
_atom_site_fract_x
_atom_site_fract_y
_atom_site_fract_z
Ca1 Ca 0.0000 0.0000 0.0000
Re1 Re 0.3333 0.6667 0.3401
Sb1 Sb 0.6667 0.3333 0.6052
```

Properties
The value obtained for the volume is 69.0 Å³/cell. The density of states at the Fermi level comes out at 4.131 states/eV/cell. For the energy relative to the elements, uncorrected, the calculation gives 9.71 kcal/mol of atoms. The calculation puts the spin magnetization at 0.000 μB per formula unit.